1.
Material: LiNpSbN
Method: DFT, PBE
State: optimized geometry

Unit cell a=3.8938 b=3.8938 c=9.9296 alpha=90.00 beta=90.00 gamma=90.00
Each line ends with the local moment (μB).
Fractional coordinates of all 8 atoms:
Li (0.0000, 0.0000, 0.0000)  -0.01
Np (0.5000, 0.0000, 0.6120)  2.84
Sb (0.0000, 0.5000, 0.7983)  -0.09
Np (0.0000, 0.5000, 0.3880)  2.84
N (0.0000, 0.0000, 0.5000)  -0.18
Sb (0.5000, 0.0000, 0.2017)  -0.09
Li (0.5000, 0.5000, 0.0000)  -0.01
N (0.5000, 0.5000, 0.5000)  -0.18

magnetic moment: 5.08 Bohr magnetons per cell
space-group type: P4/nmm, No. 129

=====

2.
Material: Li3Np3SbN8
Method: DFT, PBE
State: optimized geometry

Unit cell a=6.8688 b=6.8651 c=6.4079 alpha=122.45 beta=89.99 gamma=120.02
Each line ends with the local moment (μB).
Fractional coordinates of all 15 atoms:
Np (0.0000, 0.5000, 0.5000)  1.25
N (0.2440, 0.4881, 0.6965)  -0.08
N (0.2438, 0.9528, 0.6968)  -0.08
Sb (0.0000, 0.0000, 0.5000)  -0.02
Li (0.0000, 0.5000, 0.0000)  0.00
N (0.2910, 0.0472, 0.3033)  -0.08
N (0.7560, 0.5119, 0.3035)  -0.08
Li (0.0000, 0.0000, 0.0000)  0.00
N (0.7562, 0.0472, 0.3032)  -0.08
N (0.7390, 0.4781, 0.7178)  -0.08
Li (0.5000, 0.5000, 0.0000)  0.00
N (0.2610, 0.5219, 0.2822)  -0.08
N (0.7090, 0.9528, 0.6967)  -0.08
Np (0.5000, 0.5000, 0.5000)  1.25
Np (0.5000, 0.0000, 0.5000)  1.25

magnetic moment: 2.98 Bohr magnetons per cell
space-group type: R-3m, No. 166

=====

3.
Material: LiNpSeN
Method: DFT, PBE
State: optimized geometry

Unit cell a=3.9055 b=3.9055 c=10.6297 alpha=79.41 beta=79.41 gamma=60.00
Each line ends with the local moment (μB).
Fractional coordinates of all 8 atoms:
N (0.1934, 0.1934, 0.4199)  -0.19
Se (0.3908, 0.3908, 0.8276)  -0.07
Se (0.6092, 0.6092, 0.1724)  -0.07
Li (0.6943, 0.6943, 0.9172)  0.00
Li (0.3057, 0.3057, 0.0828)  0.00
N (0.8066, 0.8066, 0.5801)  -0.19
Np (0.8773, 0.8773, 0.3682)  3.13
Np (0.1227, 0.1227, 0.6318)  3.13

magnetic moment: 6.00 Bohr magnetons per cell
space-group type: R-3m, No. 166

=====

4.
Material: LiNp2Se2N2
Method: DFT, PBE
State: optimized geometry

Unit cell a=3.7296 b=5.7822 c=6.4631 alpha=67.92 beta=73.23 gamma=71.19
Each line ends with the local moment (μB).
Fractional coordinates of all 7 atoms:
Np (0.1894, 0.3733, 0.2479)  2.80
N (0.7907, 0.3296, 0.0891)  -0.20
Np (0.8106, 0.6267, 0.7521)  2.80
Li (0.0000, 0.0000, 0.0000)  -0.01
Se (0.5688, 0.2009, 0.6614)  -0.14
N (0.2093, 0.6704, 0.9109)  -0.20
Se (0.4312, 0.7991, 0.3386)  -0.14

magnetic moment: 5.00 Bohr magnetons per cell
space-group type: C2/m, No. 12

=====

Record-wise formation energy without anion corrections values, in eV per atom: -0.7968, -0.5294, -1.2564, -1.1554